# CrCoB2 (PBE, relaxed)
data_CrCoB2
_cell_length_a 3.491
_cell_length_b 3.491
_cell_length_c 13.759
_cell_angle_alpha 90.00
_cell_angle_beta 90.00
_cell_angle_gamma 90.00
_space_group_name_H-M_alt 'I 41/a m d'
_space_group_IT_number 141
loop_
_space_group_symop_operation_xyz
'x,y,z'
'-x,-y,-z'
'-y+1/4,x+3/4,z+1/4'
'y+1/4,-x+3/4,-z+1/4'
'-x+1/2,-y,z+1/2'
'x+1/2,y,-z+1/2'
'y+1/4,-x+1/4,z+3/4'
'-y+1/4,x+1/4,-z+3/4'
'x,-y,-z'
'-x,y,z'
'-y+1/4,-x+1/4,-z+3/4'
'y+1/4,x+1/4,z+3/4'
'-x+1/2,y,-z+1/2'
'x+1/2,-y,z+1/2'
'y+1/4,x+3/4,-z+1/4'
'-y+1/4,-x+3/4,z+1/4'
'x+1/2,y+1/2,z+1/2'
'-x+1/2,-y+1/2,-z+1/2'
'-y+3/4,x+1/4,z+3/4'
'y+3/4,-x+1/4,-z+3/4'
'-x,-y+1/2,z'
'x,y+1/2,-z'
'y+3/4,-x+3/4,z+1/4'
'-y+3/4,x+3/4,-z+1/4'
'x+1/2,-y+1/2,-z+1/2'
'-x+1/2,y+1/2,z+1/2'
'-y+3/4,-x+3/4,-z+1/4'
'y+3/4,x+3/4,z+1/4'
'-x,y+1/2,-z'
'x,-y+1/2,z'
'y+3/4,x+1/4,-z+3/4'
'-y+3/4,-x+1/4,z+3/4'
loop_
_atom_site_label
_atom_site_type_symbol
_atom_site_fract_x
_atom_site_fract_y
_atom_site_fract_z
Cr1 Cr 0.000 0.250 0.375
Co1 Co 0.000 0.250 0.875
B1 B 0.000 0.000 0.000
# energy relative to the lowest polymorph listed for this composition = 1.76 eV per formula unit
# formation energy = 0.3437 eV/atom